Entry 1:
An optimized crystal structure of Sc6CdIn3, computed with PBE-GGA.

Cell lengths 8.5903, 11.3897, 4.9556 Å; angles 90.00, 90.00, 90.00 degrees
Closest atoms and distances in Å follow each position.
Fractional coordinates of all 20 atoms:
Sc: 0.0014 0.2481 0.0000  1 Cd 2.83, 4 In 2.86-2.87
Sc: 0.1664 0.3993 0.5000  5 In 3.08-3.37, 1 Cd 3.09, 4 Sc 3.33-3.41
Sc: 0.1677 0.0999 0.5000  4 In 3.07-3.38, 2 Cd 3.08, 4 Sc 3.32-3.41
Sc: 0.3323 0.5999 0.0000  4 In 3.07-3.38, 2 Cd 3.08, 4 Sc 3.32-3.41
Sc: 0.3336 0.8993 0.0000  5 In 3.08-3.37, 1 Cd 3.09, 4 Sc 3.33-3.41
Sc: 0.4986 0.7481 0.5000  1 Cd 2.83, 4 In 2.86-2.87
Sc: 0.5014 0.2519 0.5000  1 Cd 2.83, 4 In 2.86-2.87
Sc: 0.6664 0.1007 0.0000  5 In 3.08-3.37, 1 Cd 3.09, 4 Sc 3.33-3.41
Sc: 0.6677 0.4001 0.0000  4 In 3.07-3.38, 2 Cd 3.08, 4 Sc 3.32-3.41
Sc: 0.8323 0.9001 0.5000  4 In 3.07-3.38, 2 Cd 3.08, 4 Sc 3.32-3.41
Sc: 0.8336 0.6007 0.5000  5 In 3.08-3.37, 1 Cd 3.09, 4 Sc 3.33-3.41
Sc: 0.9986 0.7519 0.0000  1 Cd 2.83, 4 In 2.86-2.87
Cd: 0.0000 0.0000 0.0000  8 Sc 2.83-3.09
Cd: 0.5000 0.5000 0.5000  8 Sc 2.83-3.09
In: 0.0000 0.5000 0.0000  8 Sc 2.87-3.08
In: 0.1653 0.7580 0.5000  3 Sc 2.86-2.87
In: 0.3347 0.2580 0.0000  3 Sc 2.86-2.87
In: 0.5000 0.0000 0.5000  8 Sc 2.87-3.08
In: 0.6653 0.7420 0.0000  3 Sc 2.86-2.87
In: 0.8347 0.2420 0.5000  3 Sc 2.86-2.87

## Properties
energy of formation from the pure elements	-0.23	eV per atom
crystal system	orthorhombic
space-group type	Pnnm

Entry 2:
An optimized crystal structure of NiB2RuPt, computed with PBE-GGA.

Cell lengths 3.9383, 3.9383, 4.9088 Å; angles 90.00, 90.00, 90.00 degrees
Closest atoms and distances in Å follow each position.
Fractional coordinates of all 5 atoms:
Ni: 0.0000 0.0000 0.0000  2 Pt 2.45
B: 0.0000 0.5000 0.5000  2 Pt 1.97
B: 0.5000 0.0000 0.5000  2 Pt 1.97
Ru: 0.5000 0.5000 0.0000  4 Ni 2.78
Pt: 0.0000 0.0000 0.5000  4 B 1.97

## Properties
energy of formation from the pure elements	1.26	eV per atom
crystal system	tetragonal
space-group type	P4/mmm

Entry 3:
An optimized crystal structure of LiGaN2, computed with PBE-GGA.

Cell lengths 6.4427, 6.4427, 6.4427 Å; angles 28.29, 28.29, 28.29 degrees
Closest atoms and distances in Å follow each position.
Fractional coordinates of all 4 atoms:
Li: 0.0000 0.0000 0.0000  6 N 2.24
Ga: 0.5000 0.5000 0.5000  2 N 1.78
N: 0.4040 0.4040 0.4040  1 Ga 1.78
N: 0.5960 0.5960 0.5960  1 Ga 1.78

## Properties
raw formation energy	0.90	eV per atom
crystal system	trigonal
space-group type	R-3m

Number 1: magnetization 0.00 μB per atom, V 24.24 Å³/atom, ρ 4.977 g cm⁻³. Number 2: magnetization 0.65 μB per atom, V 15.23 Å³/atom, ρ 8.211 g cm⁻³. Number 3: magnetization 0.50 μB per atom, V 13.27 Å³/atom, ρ 3.275 g cm⁻³.